YMo2Ru | meta-GGA SCAN | single point on PBEsol structure

Lattice parameters (Å, degrees): 3.174 4.822 8.892 90.00 90.00 90.00
Space group Imm2 (No. 44)
Asymmetric unit:
Y (0.000, 0.000, 0.000) x2
Mo (0.000, 0.000, 0.496) x2
Mo (0.000, 0.500, 0.773) x2
Ru (0.000, 0.500, 0.235) x2

## Properties
Volume in A^3/atom: 17.01
Calculated formation energy in meV/atom: 261